# 1
Below is crystalline In2ReW at its relaxed geometry, with properties calculated at the GGA-PBE level.

```
data_In2ReW
_chemical_formula_sum 'In2 Re1 W1'
_cell_length_a 4.670
_cell_length_b 4.670
_cell_length_c 4.670
_cell_angle_alpha 60.00
_cell_angle_beta 60.00
_cell_angle_gamma 60.00
_space_group_name_H-M_alt 'P 1'
_space_group_IT_number 1
loop_
_space_group_symop_operation_xyz
'x,y,z'
loop_
_atom_site_label
_atom_site_fract_x
_atom_site_fract_y
_atom_site_fract_z
In1 0.000 0.000 0.000
In2 0.250 0.250 0.250
Re1 0.500 0.500 0.500
W1 0.750 0.750 0.750
```

Properties
* excess energy over the best structure of this formula in the dataset: 0.478 eV per atom
* magnetic moment: 0.00 μB/f.u.
* formation enthalpy at 0 K: 0.74 eV/atom
* DOS at the Fermi energy: 3.18 states/eV/cell

# 2
Below is crystalline MgRh3 at its relaxed geometry, with properties calculated at the GGA-PBE level.

```
data_MgRh3
_chemical_formula_sum 'Mg1 Rh3'
_cell_length_a 4.767
_cell_length_b 4.767
_cell_length_c 4.697
_cell_angle_alpha 100.07
_cell_angle_beta 100.07
_cell_angle_gamma 33.98
_space_group_name_H-M_alt 'P 1'
_space_group_IT_number 1
loop_
_space_group_symop_operation_xyz
'x,y,z'
loop_
_atom_site_label
_atom_site_fract_x
_atom_site_fract_y
_atom_site_fract_z
Mg1 0.000 0.000 0.000
Rh1 0.245 0.245 0.743
Rh2 0.500 0.500 0.500
Rh3 0.755 0.755 0.257
```

Properties
* magnetic moment: 0.00 μB/f.u.
* formation enthalpy at 0 K: -0.22 eV/atom
* DOS at the Fermi energy: 4.20 states/eV/cell

# 3
Below is crystalline La4TlSe3 at its relaxed geometry, with properties calculated at the GGA-PBE level.

```
data_La4TlSe3
_chemical_formula_sum 'La4 Tl1 Se3'
_cell_length_a 7.635
_cell_length_b 7.635
_cell_length_c 7.635
_cell_angle_alpha 131.84
_cell_angle_beta 131.84
_cell_angle_gamma 70.48
_space_group_name_H-M_alt 'P 1'
_space_group_IT_number 1
loop_
_space_group_symop_operation_xyz
'x,y,z'
loop_
_atom_site_label
_atom_site_fract_x
_atom_site_fract_y
_atom_site_fract_z
La1 0.000 0.500 0.500
La2 0.243 0.243 0.000
La3 0.500 0.000 0.500
La4 0.757 0.757 0.000
Tl1 0.500 0.500 0.000
Se1 0.000 0.000 0.000
Se2 0.250 0.750 0.500
Se3 0.750 0.250 0.500
```

Properties
* formation energy (no corrections): -1.58 eV/atom
* magnetic moment: 0.00 μB/f.u.
* DOS at the Fermi energy: 3.36 states/eV/cell

# 4
Below is crystalline CaSm3O6 at its relaxed geometry, with properties calculated at the GGA-PBE level.

```
data_CaSm3O6
_chemical_formula_sum 'Ca2 Sm6 O12'
_cell_length_a 6.906
_cell_length_b 6.906
_cell_length_c 6.906
_cell_angle_alpha 91.56
_cell_angle_beta 91.56
_cell_angle_gamma 91.56
_space_group_name_H-M_alt 'P 1'
_space_group_IT_number 1
loop_
_space_group_symop_operation_xyz
'x,y,z'
loop_
_atom_site_label
_atom_site_fract_x
_atom_site_fract_y
_atom_site_fract_z
Ca1 0.000 0.000 0.000
Ca2 0.500 0.500 0.500
Sm1 0.057 0.565 0.751
Sm2 0.249 0.943 0.435
Sm3 0.435 0.249 0.943
Sm4 0.565 0.751 0.057
Sm5 0.751 0.057 0.565
Sm6 0.943 0.435 0.249
O1 0.024 0.895 0.681
O2 0.105 0.319 0.976
O3 0.180 0.602 0.431
O4 0.319 0.976 0.105
O5 0.398 0.569 0.820
O6 0.431 0.180 0.602
O7 0.569 0.820 0.398
O8 0.602 0.431 0.180
O9 0.681 0.024 0.895
O10 0.820 0.398 0.569
O11 0.895 0.681 0.024
O12 0.976 0.105 0.319
```

Properties
* formation energy (no corrections): -3.09 eV/atom
* magnetic moment: 1.09 μB/f.u.
* DOS at the Fermi energy: 14.13 states/eV/cell

# 5
Below is crystalline Ca2ScHg8 at its relaxed geometry, with properties calculated at the GGA-PBE level.

```
data_Ca2ScHg8
_chemical_formula_sum 'Ca2 Sc1 Hg8'
_cell_length_a 8.431
_cell_length_b 8.431
_cell_length_c 8.431
_cell_angle_alpha 144.52
_cell_angle_beta 127.16
_cell_angle_gamma 65.27
_space_group_name_H-M_alt 'P 1'
_space_group_IT_number 1
loop_
_space_group_symop_operation_xyz
'x,y,z'
loop_
_atom_site_label
_atom_site_fract_x
_atom_site_fract_y
_atom_site_fract_z
Ca1 0.208 0.208 0.000
Ca2 0.792 0.792 0.000
Sc1 0.500 0.500 0.000
Hg1 0.070 0.368 0.702
Hg2 0.205 0.000 0.205
Hg3 0.334 0.632 0.702
Hg4 0.347 0.847 0.500
Hg5 0.653 0.153 0.500
Hg6 0.666 0.368 0.298
Hg7 0.795 0.000 0.795
Hg8 0.930 0.632 0.298
```

Properties
* magnetic moment: 0.00 μB/f.u.
* formation enthalpy at 0 K: -0.30 eV/atom
* DOS at the Fermi energy: 6.98 states/eV/cell

# 6
Below is crystalline RbNaInBr3 at its relaxed geometry, with properties calculated at the GGA-PBE level.

```
data_RbNaInBr3
_chemical_formula_sum 'Rb2 Na2 In2 Br6'
_cell_length_a 9.990
_cell_length_b 4.659
_cell_length_c 10.799
_cell_angle_alpha 90.00
_cell_angle_beta 95.85
_cell_angle_gamma 90.00
_space_group_name_H-M_alt 'P 1'
_space_group_IT_number 1
loop_
_space_group_symop_operation_xyz
'x,y,z'
loop_
_atom_site_label
_atom_site_fract_x
_atom_site_fract_y
_atom_site_fract_z
Rb1 0.152 0.250 0.186
Rb2 0.848 0.750 0.814
Na1 0.124 0.250 0.595
Na2 0.876 0.750 0.405
In1 0.366 0.750 0.845
In2 0.634 0.250 0.155
Br1 0.123 0.250 0.858
Br2 0.169 0.750 0.453
Br3 0.396 0.750 0.121
Br4 0.604 0.250 0.879
Br5 0.831 0.250 0.547
Br6 0.877 0.750 0.142
```

Properties
* formation energy (no corrections): -1.28 eV/atom
* magnetic moment: 0.00 μB/f.u.
* DOS at the Fermi energy: 0.00 states/eV/cell

# 7
Below is crystalline NiPOs at its relaxed geometry, with properties calculated at the GGA-PBE level.

```
data_NiPOs
_chemical_formula_sum 'Ni2 P2 Os2'
_cell_length_a 3.772
_cell_length_b 3.772
_cell_length_c 5.636
_cell_angle_alpha 90.00
_cell_angle_beta 90.00
_cell_angle_gamma 90.00
_space_group_name_H-M_alt 'P 1'
_space_group_IT_number 1
loop_
_space_group_symop_operation_xyz
'x,y,z'
loop_
_atom_site_label
_atom_site_fract_x
_atom_site_fract_y
_atom_site_fract_z
Ni1 0.000 0.000 0.250
Ni2 0.000 0.000 0.750
P1 0.000 0.500 0.000
P2 0.500 0.000 0.500
Os1 0.500 0.500 0.250
Os2 0.500 0.500 0.750
```

Properties
* magnetic moment: 0.00 μB/f.u.
* formation enthalpy at 0 K: -0.25 eV/atom
* DOS at the Fermi energy: 3.51 states/eV/cell

# 8
Below is crystalline YCoBi2 at its relaxed geometry, with properties calculated at the GGA-PBE level.

```
data_YCoBi2
_chemical_formula_sum 'Y1 Co1 Bi2'
_cell_length_a 5.184
_cell_length_b 5.184
_cell_length_c 5.184
_cell_angle_alpha 60.00
_cell_angle_beta 60.00
_cell_angle_gamma 60.00
_space_group_name_H-M_alt 'P 1'
_space_group_IT_number 1
loop_
_space_group_symop_operation_xyz
'x,y,z'
loop_
_atom_site_label
_atom_site_fract_x
_atom_site_fract_y
_atom_site_fract_z
Y1 0.000 0.000 0.000
Co1 0.500 0.500 0.500
Bi1 0.250 0.250 0.250
Bi2 0.750 0.750 0.750
```

Properties
* excess energy over the best structure of this formula in the dataset: 0.196 eV per atom
* magnetic moment: 1.84 μB/f.u.
* formation enthalpy at 0 K: 0.10 eV/atom
* DOS at the Fermi energy: 5.22 states/eV/cell

What did the sixth record say?
Below is crystalline RbNaInBr3 at its relaxed geometry, with properties calculated at the GGA-PBE level.

```
data_RbNaInBr3
_chemical_formula_sum 'Rb2 Na2 In2 Br6'
_cell_length_a 9.990
_cell_length_b 4.659
_cell_length_c 10.799
_cell_angle_alpha 90.00
_cell_angle_beta 95.85
_cell_angle_gamma 90.00
_space_group_name_H-M_alt 'P 1'
_space_group_IT_number 1
loop_
_space_group_symop_operation_xyz
'x,y,z'
loop_
_atom_site_label
_atom_site_fract_x
_atom_site_fract_y
_atom_site_fract_z
Rb1 0.152 0.250 0.186
Rb2 0.848 0.750 0.814
Na1 0.124 0.250 0.595
Na2 0.876 0.750 0.405
In1 0.366 0.750 0.845
In2 0.634 0.250 0.155
Br1 0.123 0.250 0.858
Br2 0.169 0.750 0.453
Br3 0.396 0.750 0.121
Br4 0.604 0.250 0.879
Br5 0.831 0.250 0.547
Br6 0.877 0.750 0.142
```

Properties
* formation energy (no corrections): -1.28 eV/atom
* magnetic moment: 0.00 μB/f.u.
* DOS at the Fermi energy: 0.00 states/eV/cell